Compound: NaAgPt2N
Source: Alexandria
Functional: PBE
Structure: relaxed

The space group is P4/mmm (No. 123) and the conventional cell measures 4.105, 4.105 and 4.623 Å, with angles of 90.00, 90.00 and 90.00 degrees. The distinct sites, in fractional coordinates, are Na at (0.000, 0.000, 0.000), Ag at (0.500, 0.500, 0.000), Pt at (0.000, 0.500, 0.500) and N at (0.000, 0.000, 0.500).

For the formation energy (no corrections), the calculation gives 0.212 eV/atom.


Compound: Tl3As2Se4
Source: Alexandria
Functional: PBE
Structure: relaxed

The space group is C2/c (No. 15) and the conventional cell measures 15.107, 8.663 and 9.698 Å, with angles of 90.00, 91.80 and 90.00 degrees. The distinct sites, in fractional coordinates, are Tl at (0.000, 0.010, 0.250), Tl at (0.113, 0.441, 0.717), As at (0.194, 0.137, 0.982), Se at (0.055, 0.262, 0.004) and Se at (0.206, 0.113, 0.737).

For the formation energy (no corrections), the calculation gives -0.222 eV/atom. The relative energy among the computed polymorphs comes out at 0.000 eV per atom.


Compound: La9PmTh2
Source: Alexandria
Functional: PBE
Structure: relaxed

The space group is P4/mmm (No. 123) and the conventional cell measures 5.193, 5.193 and 15.623 Å, with angles of 90.00, 90.00 and 90.00 degrees. The distinct sites, in fractional coordinates, are La at (0.000, 0.000, 0.000), La at (0.000, 0.000, 0.334), La at (0.000, 0.500, 0.172), La at (0.000, 0.500, 0.500), Pm at (0.500, 0.500, 0.000) and Th at (0.500, 0.500, 0.334).

The total energy is -5.297 eV/atom.


Compound: Cs2MoCl7
Source: Alexandria
Functional: PBE
Structure: relaxed

The space group is Fm-3m (No. 225) and the conventional cell measures 11.242, 11.242 and 11.242 Å, with angles of 90.00, 90.00 and 90.00 degrees. The distinct sites, in fractional coordinates, are Cs at (0.250, 0.250, 0.250), Mo at (0.000, 0.000, 0.000), Cl at (0.000, 0.000, 0.211) and Cl at (0.000, 0.000, 0.500).

For the formation energy (no corrections), the calculation gives -1.200 eV/atom. The relative energy among the computed polymorphs comes out at 0.026 eV per atom.


Compound: As2IrSe
Source: Alexandria
Functional: PBE
Structure: relaxed

The space group is P4/mmm (No. 123) and the conventional cell measures 3.866, 3.866 and 4.752 Å, with angles of 90.00, 90.00 and 90.00 degrees. The distinct sites, in fractional coordinates, are As at (0.000, 0.500, 0.000), Ir at (0.000, 0.000, 0.500) and Se at (0.500, 0.500, 0.500).

For the formation energy (no corrections), the calculation gives 0.565 eV/atom.


Compound: PaReS
Source: Alexandria
Functional: PBE
Structure: relaxed

The space group is P-1 (No. 2) and the conventional cell measures 4.059, 4.664 and 6.893 Å, with angles of 73.72, 78.98 and 88.74 degrees. The distinct sites, in fractional coordinates, are Pa at (0.179, 0.362, 0.245), Re at (0.282, 0.102, 0.903) and S at (0.338, 0.780, 0.433).

For the formation energy (no corrections), the calculation gives -0.530 eV/atom. The relative energy among the computed polymorphs comes out at 0.000 eV per atom.


Compound: ScAl
Source: Alexandria
Functional: PBE
Structure: relaxed

The space group is P6_3/mmc (No. 194) and the conventional cell measures 4.9251, 4.9251 and 8.0223 Å, with angles of 90.00, 90.00 and 120.00 degrees. The distinct sites, in fractional coordinates, are Sc at (0.0000, 0.0000, 0.2500), Sc at (0.3333, 0.6667, 0.2500) and Al at (0.3333, 0.6667, 0.5956).

The total energy is -4.952 eV/atom.


Compound: Al2SiGe
Source: Alexandria
Functional: PBE
Structure: relaxed

The space group is Fm-3m (No. 225) and the conventional cell measures 6.450, 6.450 and 6.450 Å, with angles of 90.00, 90.00 and 90.00 degrees. The distinct sites, in fractional coordinates, are Al at (0.250, 0.250, 0.250), Si at (0.000, 0.000, 0.000) and Ge at (0.000, 0.000, 0.500).

For the formation energy (no corrections), the calculation gives 0.241 eV/atom. The relative energy among the computed polymorphs comes out at 0.096 eV per atom.


Compound: Ti3Mo2Rh
Source: Alexandria
Functional: PBE
Structure: relaxed

The space group is P4/mmm (No. 123) and the conventional cell measures 3.133, 3.133 and 9.493 Å, with angles of 90.00, 90.00 and 90.00 degrees. The distinct sites, in fractional coordinates, are Ti at (0.000, 0.000, 0.000), Ti at (0.000, 0.000, 0.333), Mo at (0.500, 0.500, 0.167) and Rh at (0.500, 0.500, 0.500).

The total energy is -9.147 eV/atom.


Compound: CeYInTc
Source: Alexandria
Functional: PBE
Structure: relaxed

The space group is F-43m (No. 216) and the conventional cell measures 7.243, 7.243 and 7.243 Å, with angles of 90.00, 90.00 and 90.00 degrees. The distinct sites, in fractional coordinates, are Ce at (0.000, 0.000, 0.000), Y at (0.000, 0.000, 0.500), In at (0.250, 0.250, 0.750) and Tc at (0.250, 0.250, 0.250).

The total energy is -6.479 eV/atom.


Compound: ZnCuPd
Source: Alexandria
Functional: PBE
Structure: relaxed

The space group is P3m1 (No. 156) and the conventional cell measures 4.1746, 4.1746 and 2.7616 Å, with angles of 90.00, 90.00 and 120.00 degrees. The distinct sites, in fractional coordinates, are Zn at (0.0000, 0.0000, 0.0000), Cu at (0.3333, 0.6667, 0.8411) and Pd at (0.6667, 0.3333, 0.4191).

The relative energy among the computed polymorphs comes out at 0.013 eV per atom.


Compound: Er12Tm5Mg
Source: Alexandria
Functional: PBE
Structure: relaxed

The space group is C2/m (No. 12) and the conventional cell measures 18.135, 10.459 and 6.045 Å, with angles of 90.00, 109.46 and 90.00 degrees. The distinct sites, in fractional coordinates, are Er at (0.000, 0.166, 0.000), Er at (0.000, 0.333, 0.500), Er at (0.167, 0.167, 0.832), Er at (0.167, 0.333, 0.335), Tm at (0.000, 0.000, 0.500), Tm at (0.167, 0.000, 0.335), Tm at (0.167, 0.500, 0.833) and Mg at (0.000, 0.500, 0.000).

The total energy is -4.343 eV/atom.


What did the fourth record say?
Compound: Cs2MoCl7
Source: Alexandria
Functional: PBE
Structure: relaxed

The space group is Fm-3m (No. 225) and the conventional cell measures 11.242, 11.242 and 11.242 Å, with angles of 90.00, 90.00 and 90.00 degrees. The distinct sites, in fractional coordinates, are Cs at (0.250, 0.250, 0.250), Mo at (0.000, 0.000, 0.000), Cl at (0.000, 0.000, 0.211) and Cl at (0.000, 0.000, 0.500).

For the formation energy (no corrections), the calculation gives -1.200 eV/atom. The relative energy among the computed polymorphs comes out at 0.026 eV per atom.


What is the formula in the fourth record?
Cs2MoCl7